A relaxed structure of Al4InCuS8, computed with GGA-PBEsol.

Unit cell a=7.1465 b=7.1465 c=7.1465 alpha=59.50 beta=59.50 gamma=59.50
With the nearest neighbours (Å) after each atom.
Fractional positions:
Al 0.0000 0.0000 0.0000  4 S 2.30-2.33
Al 0.3829 0.3829 0.8548  6 S 2.36-2.52
Al 0.3829 0.8548 0.3829  6 S 2.36-2.52
Al 0.8548 0.3829 0.3829  6 S 2.36-2.52
In 0.3806 0.3806 0.3806  6 S 2.52-2.60
Cu 0.7499 0.7499 0.7499  4 S 2.26-2.29
S 0.1238 0.1238 0.6043  3 Al 2.30-2.48
S 0.1238 0.6043 0.1238  3 Al 2.30-2.48
S 0.1329 0.1329 0.1329  4 Al 2.33-2.52
S 0.1387 0.6306 0.6306  1 Cu 2.26, 2 Al 2.36, 1 In 2.52
S 0.6043 0.1238 0.1238  3 Al 2.30-2.48
S 0.6198 0.6198 0.6198  1 Cu 2.29, 3 Al 2.39
S 0.6306 0.1387 0.6306  1 Cu 2.26, 2 Al 2.36, 1 In 2.52
S 0.6306 0.6307 0.1387  1 Cu 2.26, 2 Al 2.36, 1 In 2.52

Output
For the uncorrected formation energy, the calculation gives -0.9226 eV/atom. The crystal system is trigonal. The value obtained for the magnetic moment is 0.0 μB per formula unit. For the calculated volume, the calculation gives 18.22 A^3/atom.